# 1
A relaxed structure of K2Cu3F8. Source: the Alexandria database, functional PBE.

VASP energy: -4.194 eV/atom
Magnetization: 0.226 μB per atom
Raw formation energy: -1.928 eV/atom

Cell lengths 11.6965, 6.0156, 6.1480 Å; angles 90.00, 106.59, 90.00 degrees
With the nearest neighbours (Å) after each atom.
Space group C2/m (No. 12)
Inequivalent atoms, fractional coordinates:
K: 0.2152 0.0000 0.1674 (multiplicity 4)  6 F 2.58-2.77
Cu: 0.0000 0.2493 0.5000 (multiplicity 4)  4 F 1.97-1.99
Cu: 0.0000 0.5000 0.0000 (multiplicity 2)  4 F 1.91
F: 0.0860 0.2806 0.8855 (multiplicity 8)  1 Cu 1.91
F: 0.1019 0.5000 0.4541 (multiplicity 4)  2 Cu 1.99
F: 0.1058 0.0000 0.4821 (multiplicity 4)  2 Cu 1.97

# 2
A relaxed structure of SrTlIr2. Source: the Alexandria database, functional PBE.

VASP energy: -5.019 eV/atom
Magnetization: 0.000 μB per atom
Formation energy from the elements: 0.4234 eV/atom

Cell lengths 4.4786, 4.4786, 8.1371 Å; angles 90.00, 90.00, 90.00 degrees
With the nearest neighbours (Å) after each atom.
Space group I4/mmm (No. 139)
Inequivalent atoms, fractional coordinates:
Sr: 0.0000 0.0000 0.0000 (multiplicity 2)  8 Ir 3.03, 4 Tl 3.17
Tl: 0.0000 0.0000 0.5000 (multiplicity 2)  8 Ir 3.03, 4 Sr 3.17
Ir: 0.0000 0.5000 0.2500 (multiplicity 4)  4 Tl 3.03, 4 Sr 3.03, 4 Ir 3.17

# 3
A relaxed structure of SmHoRu2. Source: the Alexandria database, functional PBE.

VASP energy: -7.210 eV/atom
Magnetization: 0.000 μB per atom
Formation energy from the elements: -0.2481 eV/atom

Cell lengths 6.8514, 6.8514, 6.8514 Å; angles 90.00, 90.00, 90.00 degrees
With the nearest neighbours (Å) after each atom.
Space group Fm-3m (No. 225)
Inequivalent atoms, fractional coordinates:
Sm: 0.0000 0.0000 0.0000 (multiplicity 4)  8 Ru 2.97
Ho: 0.0000 0.0000 0.5000 (multiplicity 4)  8 Ru 2.97
Ru: 0.2500 0.2500 0.2500 (multiplicity 8)  4 Ho 2.97, 4 Sm 2.97